Crystalline SmBe8Zn4 at its relaxed geometry, computed with GGA-PBE.

Cell: 8.0876 8.0876 4.7737 Å, 90.00 90.00 90.00°
Space group I4/mmm (No. 139)
Symmetry-distinct sites (fractional):
Sm 0.0000 0.0000 0.0000 x2
Be 0.0000 0.2397 0.5000 x8
Be 0.0000 0.3656 0.0000 x8
Zn 0.2500 0.2500 0.2500 x8

Output
The calculation puts the density at 5.15 Mg/m³. Its crystal system is tetragonal. The energy above the most stable polymorph in this dataset comes out at 1.29 eV per formula unit.


Crystalline PuBeSi at its relaxed geometry, computed with GGA-PBE.

Cell: 6.3211 6.3211 6.3211 Å, 90.00 90.00 90.00°
Space group F-43m (No. 216)
Symmetry-distinct sites (fractional):
Pu 0.0000 0.0000 0.0000 x4
Be 0.2500 0.2500 0.7500 x4
Si 0.2500 0.2500 0.2500 x4

Output
The calculation puts the density at 7.39 Mg/m³. Its crystal system is cubic. The calculation puts the calculated total energy at -7.19 eV/atom.


Crystalline TbPrBi4Au2 at its relaxed geometry, computed with GGA-PBE.

Cell: 4.6574 4.6574 9.9694 Å, 90.00 90.00 90.00°
Space group P4mm (No. 99)
Symmetry-distinct sites (fractional):
Tb 0.0000 0.0000 0.0000 x1
Pr 0.5000 0.5000 0.5344 x1
Bi 0.0000 0.0000 0.5813 x1
Bi 0.0000 0.5000 0.2645 x2
Bi 0.5000 0.5000 0.9684 x1
Au 0.0000 0.5000 0.7779 x2

Output
The calculation puts the density at 11.75 Mg/m³. Its crystal system is tetragonal. The calculation puts the calculated total energy at -4.58 eV/atom.


Crystalline Cu9Ag at its relaxed geometry, computed with GGA-PBE.

Cell: 11.0912 2.6307 8.6495 Å, 90.00 100.88 90.00°
Space group C2/m (No. 12)
Symmetry-distinct sites (fractional):
Cu 0.0000 0.0000 0.0000 x2
Cu 0.0994 0.0000 0.2863 x4
Cu 0.1035 0.5000 0.8057 x4
Cu 0.1999 0.5000 0.0963 x4
Cu 0.2104 0.0000 0.6065 x4
Ag 0.0000 0.5000 0.5000 x2

Output
The calculation puts the density at 9.11 Mg/m³. Its crystal system is monoclinic. For the formation enthalpy at 0 K, the calculation gives 0.041 eV/atom. The energy above the most stable polymorph in this dataset comes out at 0.05 eV per formula unit.


Crystalline GaFeNiMo at its relaxed geometry, computed with GGA-PBE.

Cell: 5.9059 5.9059 5.9059 Å, 90.00 90.00 90.00°
Space group F-43m (No. 216)
Symmetry-distinct sites (fractional):
Ga 0.0000 0.0000 0.0000 x4
Fe 0.2500 0.2500 0.7500 x4
Ni 0.2500 0.2500 0.2500 x4
Mo 0.0000 0.0000 0.5000 x4

Output
The calculation puts the density at 9.03 Mg/m³. Its crystal system is cubic. The energy above the most stable polymorph in this dataset comes out at 0.00 eV per formula unit.


Crystalline CsCdPt at its relaxed geometry, computed with GGA-PBE.

Cell: 7.3591 7.3591 7.3591 Å, 90.00 90.00 90.00°
Space group F-43m (No. 216)
Symmetry-distinct sites (fractional):
Cs 0.0000 0.0000 0.0000 x4
Cd 0.0000 0.0000 0.5000 x4
Pt 0.2500 0.2500 0.7500 x4

Output
The calculation puts the density at 7.34 Mg/m³. Its crystal system is cubic. The energy above the most stable polymorph in this dataset comes out at 0.00 eV per formula unit.